(1)
Density functional theory data (PBEsol) for CaSiRh after structural relaxation.

a b c (Å): 6.158 6.158 6.158
angles (deg): 90.00 90.00 90.00
Fractional coordinates of all 12 atoms:
Ca 0.000 0.000 0.000
Ca 0.000 0.500 0.500
Ca 0.500 0.000 0.500
Ca 0.500 0.500 0.000
Si 0.250 0.250 0.250
Si 0.250 0.750 0.750
Si 0.750 0.250 0.750
Si 0.750 0.750 0.250
Rh 0.000 0.000 0.500
Rh 0.000 0.500 0.000
Rh 0.500 0.000 0.000
Rh 0.500 0.500 0.500

Results
Energy relative to the elements, uncorrected: -0.1331 eV per atom
Symmetry: F-43m
Calculated volume: 19.457 Å³ per atom
ρ: 4.87 g/cm3

=====

(2)
Density functional theory data (PBEsol) for CaSi3Rh after structural relaxation.

a b c (Å): 4.650 4.650 4.650
angles (deg): 90.00 90.00 90.00
Fractional coordinates of all 5 atoms:
Ca 0.000 0.000 0.000
Si 0.000 0.500 0.500
Si 0.500 0.000 0.500
Si 0.500 0.500 0.000
Rh 0.500 0.500 0.500

Results
Energy relative to the elements, uncorrected: 0.0336 eV per atom
Symmetry: Pm-3m
Calculated volume: 20.111 Å³ per atom
ρ: 3.75 g/cm3

=====

(3)
Density functional theory data (PBEsol) for Ca2SiRh after structural relaxation.

a b c (Å): 4.563 4.563 3.834
angles (deg): 90.00 90.00 90.00
Fractional coordinates of all 4 atoms:
Ca 0.000 0.500 0.000
Ca 0.500 0.000 0.000
Si 0.000 0.000 0.500
Rh 0.500 0.500 0.500

Results
Energy relative to the elements, uncorrected: -0.2554 eV per atom
Symmetry: P4/mmm
Calculated volume: 19.961 Å³ per atom
ρ: 4.39 g/cm3

=====

(4)
Density functional theory data (PBEsol) for CaSmRh2 after structural relaxation.

a b c (Å): 6.776 6.776 6.776
angles (deg): 90.00 90.00 90.00
Fractional coordinates of all 16 atoms:
Ca 0.000 0.000 0.000
Ca 0.000 0.500 0.500
Ca 0.500 0.000 0.500
Ca 0.500 0.500 0.000
Sm 0.000 0.000 0.500
Sm 0.000 0.500 0.000
Sm 0.500 0.000 0.000
Sm 0.500 0.500 0.500
Rh 0.250 0.250 0.250
Rh 0.250 0.250 0.750
Rh 0.250 0.750 0.250
Rh 0.250 0.750 0.750
Rh 0.750 0.250 0.250
Rh 0.750 0.250 0.750
Rh 0.750 0.750 0.250
Rh 0.750 0.750 0.750

Results
Symmetry: Fm-3m
Calculated volume: 19.447 Å³ per atom
Calculated total energy: -101.6 eV for the cell shown
ρ: 8.46 g/cm3

=====

(5)
Density functional theory data (PBEsol) for Ca2Sn2Rh after structural relaxation.

a b c (Å): 7.052 7.052 4.806
angles (deg): 90.00 90.00 90.00
Fractional coordinates of all 10 atoms:
Ca 0.171 0.329 0.000
Ca 0.329 0.829 0.000
Ca 0.671 0.171 0.000
Ca 0.829 0.671 0.000
Sn 0.145 0.645 0.500
Sn 0.355 0.145 0.500
Sn 0.645 0.855 0.500
Sn 0.855 0.355 0.500
Rh 0.000 0.000 0.500
Rh 0.500 0.500 0.500

Results
Symmetry: P4/mbm
Calculated volume: 23.902 Å³ per atom
Calculated total energy: -47.7 eV for the cell shown
ρ: 5.84 g/cm3

=====

(6)
Density functional theory data (PBEsol) for Ca3Sn13Rh4 after structural relaxation.

a b c (Å): 9.656 9.656 9.656
angles (deg): 90.00 90.00 90.00
Fractional coordinates of all 40 atoms:
Ca 0.000 0.250 0.500
Ca 0.000 0.750 0.500
Ca 0.250 0.500 0.000
Ca 0.500 0.000 0.250
Ca 0.500 0.000 0.750
Ca 0.750 0.500 0.000
Sn 0.000 0.000 0.000
Sn 0.000 0.305 0.153
Sn 0.000 0.305 0.847
Sn 0.000 0.695 0.153
Sn 0.000 0.695 0.847
Sn 0.153 0.000 0.305
Sn 0.153 0.000 0.695
Sn 0.195 0.500 0.347
Sn 0.195 0.500 0.653
Sn 0.305 0.153 0.000
Sn 0.305 0.847 0.000
Sn 0.347 0.195 0.500
Sn 0.347 0.805 0.500
Sn 0.500 0.347 0.195
Sn 0.500 0.347 0.805
Sn 0.500 0.500 0.500
Sn 0.500 0.653 0.195
Sn 0.500 0.653 0.805
Sn 0.653 0.195 0.500
Sn 0.653 0.805 0.500
Sn 0.695 0.153 0.000
Sn 0.695 0.847 0.000
Sn 0.805 0.500 0.347
Sn 0.805 0.500 0.653
Sn 0.847 0.000 0.305
Sn 0.847 0.000 0.695
Rh 0.250 0.250 0.250
Rh 0.250 0.250 0.750
Rh 0.250 0.750 0.250
Rh 0.250 0.750 0.750
Rh 0.750 0.250 0.250
Rh 0.750 0.250 0.750
Rh 0.750 0.750 0.250
Rh 0.750 0.750 0.750

Results
Symmetry: Pm-3n
Calculated volume: 22.511 Å³ per atom
Calculated total energy: -210.3 eV for the cell shown
ρ: 7.65 g/cm3

=====

(7)
Density functional theory data (PBEsol) for CaSnTeRh2 after structural relaxation.

a b c (Å): 4.840 4.840 5.489
angles (deg): 90.00 90.00 90.00
Fractional coordinates of all 5 atoms:
Ca 0.000 0.000 0.000
Sn 0.500 0.500 0.000
Te 0.000 0.000 0.500
Rh 0.000 0.500 0.500
Rh 0.500 0.000 0.500

Results
Energy relative to the elements, uncorrected: 0.3775 eV per atom
Symmetry: P4/mmm
Calculated volume: 25.714 Å³ per atom
ρ: 6.36 g/cm3

=====

(8)
Density functional theory data (PBEsol) for Sr2CaRh2 after structural relaxation.

a b c (Å): 5.135 5.135 10.362
angles (deg): 90.00 90.00 90.00
Fractional coordinates of all 10 atoms:
Sr 0.000 0.000 0.153
Sr 0.000 0.000 0.847
Sr 0.500 0.500 0.347
Sr 0.500 0.500 0.653
Ca 0.000 0.000 0.500
Ca 0.500 0.500 0.000
Rh 0.000 0.500 0.250
Rh 0.000 0.500 0.750
Rh 0.500 0.000 0.250
Rh 0.500 0.000 0.750

Results
Symmetry: I4/mmm
Calculated volume: 27.327 Å³ per atom
Calculated total energy: -41.4 eV for the cell shown
ρ: 5.12 g/cm3